The following is a DFT calculation (PBE) of crystalline ThZr2Sc6 at its relaxed geometry.

Lattice parameters (Å, degrees): 5.704 10.721 10.721 97.21 118.90 118.90
Fractional positions:
1 Zr 0.001 0.341 0.159
2 Sc 0.573 0.415 0.916
3 Sc 0.927 0.084 0.585
4 Sc 0.311 0.988 0.831
5 Sc 0.427 0.585 0.084
6 Th 0.750 0.250 0.750
7 Sc 0.811 0.489 0.331
8 Zr 0.999 0.659 0.841
9 Sc 0.073 0.916 0.415
10 Zr 0.501 0.159 0.341
11 Sc 0.689 0.012 0.169
12 Sc 0.811 0.831 0.988
13 Th 0.250 0.750 0.250
14 Sc 0.189 0.169 0.012
15 Sc 0.189 0.511 0.669
16 Sc 0.311 0.331 0.489
17 Zr 0.499 0.841 0.659
18 Sc 0.689 0.669 0.511

Summary:
D(E_F): 34.032 states/eV/cell
E_form: 0.1374 eV per atom
total energy: -6.81 eV per atom
calculated volume: 24.7 A^3/atom